No. 1
Crystalline Ba2Li3AgPd12 at its relaxed geometry, computed with PBE-GGA.

```
Ba2Li3AgPd12
1.0
3.2469 1.8746 9.8160
-3.2469 1.8746 9.8160
0.0000 -3.7492 9.8160
Ba Li Ag Pd
2 3 1 12
direct
0.1432 0.1432 0.1432
0.8568 0.8568 0.8568
0.0000 0.5000 0.5000
0.5000 0.0000 0.5000
0.5000 0.5000 0.0000
0.5000 0.5000 0.5000
0.0939 0.0939 0.6846
0.0939 0.6846 0.0939
0.1411 0.5694 0.5694
0.3154 0.9061 0.9061
0.4306 0.4306 0.8589
0.4306 0.8589 0.4306
0.5694 0.1411 0.5694
0.5694 0.5694 0.1411
0.6846 0.0939 0.0939
0.8589 0.4306 0.4306
0.9061 0.3154 0.9061
0.9061 0.9061 0.3154
```

Calculated values
ρ in g cm⁻³: 7.78
ΔE_f in eV per atom: -0.090
Symmetry: R-3m (166)


No. 2
Crystalline BaLiAg2Pd at its relaxed geometry, computed with PBE-GGA.

```
BaLiAg2Pd
1.0
5.3104 0.0000 0.0000
0.0000 5.3104 0.0000
0.0000 0.0000 4.6505
Ba Li Ag Pd
1 1 2 1
direct
0.0000 0.0000 0.0000
0.5000 0.5000 0.0000
0.0000 0.5000 0.5000
0.5000 0.0000 0.5000
0.5000 0.5000 0.5000
```

Calculated values
ρ in g cm⁻³: 5.91
ΔE_f in eV per atom: -0.151
Symmetry: P4/mmm (123)


No. 3
Crystalline BaLiPmAg at its relaxed geometry, computed with PBE-GGA.

```
BaLiPmAg
1.0
0.0000 3.9612 3.9612
3.9612 0.0000 3.9612
3.9612 3.9612 0.0000
Ba Li Pm Ag
1 1 1 1
direct
0.0000 0.0000 0.0000
0.2500 0.2500 0.2500
0.5000 0.5000 0.5000
0.7500 0.7500 0.7500
```

Calculated values
ρ in g cm⁻³: 5.30
ΔE_f in eV per atom: 0.040
Symmetry: F-43m (216)


No. 4
Crystalline BaLiPrAg at its relaxed geometry, computed with PBE-GGA.

```
BaLiPrAg
1.0
0.0000 3.9873 3.9873
3.9873 0.0000 3.9873
3.9873 3.9873 0.0000
Ba Li Pr Ag
1 1 1 1
direct
0.0000 0.0000 0.0000
0.2500 0.2500 0.2500
0.5000 0.5000 0.5000
0.7500 0.7500 0.7500
```

Calculated values
ρ in g cm⁻³: 5.15
ΔE_f in eV per atom: 0.028
Symmetry: F-43m (216)


No. 5
Crystalline Ba6LiAgPt at its relaxed geometry, computed with PBE-GGA.

```
Ba6LiAgPt
1.0
8.3205 0.0000 0.0000
-4.1603 7.2058 0.0000
0.0000 0.0000 7.7907
Ba Li Ag Pt
6 1 1 1
direct
0.0300 0.3505 0.2345
0.0300 0.6795 0.7655
0.3205 0.3505 0.7655
0.3205 0.9700 0.2345
0.6495 0.6795 0.2345
0.6495 0.9700 0.7655
0.6667 0.3333 0.5000
0.0000 0.0000 0.0000
0.3333 0.6667 0.0000
```

Calculated values
ρ in g cm⁻³: 4.03
ΔE_f in eV per atom: -0.229
Symmetry: P312 (149)


No. 6
Crystalline Ba8LiAg2Pt at its relaxed geometry, computed with PBE-GGA.

```
Ba8LiAg2Pt
1.0
7.7749 0.0000 0.0000
0.0000 9.8756 0.0000
-0.0694 0.0000 8.0387
Ba Li Ag Pt
8 1 2 1
direct
0.2350 0.0000 0.3503
0.2542 0.5000 0.3173
0.2636 0.2747 0.8357
0.2636 0.7253 0.8357
0.7364 0.2747 0.1643
0.7364 0.7253 0.1643
0.7458 0.5000 0.6827
0.7650 0.0000 0.6497
0.5000 0.0000 0.0000
0.0000 0.2594 0.5000
0.0000 0.7406 0.5000
0.5000 0.5000 0.0000
```

Calculated values
ρ in g cm⁻³: 4.08
ΔE_f in eV per atom: -0.194
Symmetry: P2/m (10)


No. 7
Crystalline BaLi2AgPt at its relaxed geometry, computed with PBE-GGA.

```
BaLi2AgPt
1.0
4.8270 0.0000 0.0000
0.0000 4.8270 0.0000
0.0000 0.0000 5.4103
Ba Li Ag Pt
1 2 1 1
direct
0.0000 0.0000 0.0000
0.0000 0.5000 0.5000
0.5000 0.0000 0.5000
0.5000 0.5000 0.0000
0.5000 0.5000 0.5000
```

Calculated values
ρ in g cm⁻³: 5.98
ΔE_f in eV per atom: -0.244
Symmetry: P4/mmm (123)


No. 8
Crystalline RbBa2LiAg at its relaxed geometry, computed with PBE-GGA.

```
RbBa2LiAg
1.0
6.5054 0.0000 0.0000
0.0000 6.5054 0.0000
0.0000 0.0000 6.3143
Rb Ba Li Ag
1 2 1 1
direct
0.0000 0.0000 0.0000
0.0000 0.5000 0.5000
0.5000 0.0000 0.5000
0.0000 0.0000 0.5000
0.5000 0.5000 0.0000
```

Calculated values
ρ in g cm⁻³: 2.95
ΔE_f in eV per atom: 0.365
Symmetry: P4/mmm (123)


No. 9
Crystalline RbBa2LiAg at its relaxed geometry, computed with PBE-GGA.

```
RbBa2LiAg
1.0
6.6220 0.0000 0.0000
0.0000 6.6220 0.0000
0.0000 0.0000 5.7271
Rb Ba Li Ag
1 2 1 1
direct
0.0000 0.0000 0.0000
0.0000 0.5000 0.5000
0.5000 0.0000 0.5000
0.5000 0.5000 0.0000
0.5000 0.5000 0.5000
```

Calculated values
ρ in g cm⁻³: 3.14
ΔE_f in eV per atom: 0.034
Symmetry: P4/mmm (123)


No. 10
Crystalline Ba2LiAgRh at its relaxed geometry, computed with PBE-GGA.

```
Ba2LiAgRh
1.0
5.9384 0.0000 0.0000
0.0000 5.9384 0.0000
0.0000 0.0000 4.8142
Ba Li Ag Rh
2 1 1 1
direct
0.0000 0.5000 0.0000
0.5000 0.0000 0.0000
0.0000 0.0000 0.5000
0.5000 0.5000 0.5000
0.0000 0.0000 0.0000
```

Calculated values
ρ in g cm⁻³: 4.82
ΔE_f in eV per atom: -0.064
Symmetry: P4/mmm (123)


No. 11
Crystalline Ba2Li6AgRh at its relaxed geometry, computed with PBE-GGA.

```
Ba2Li6AgRh
1.0
-3.5861 3.6190 5.0973
3.5861 -3.6190 5.0973
3.5861 3.6190 -5.0973
Ba Li Ag Rh
2 6 1 1
direct
0.2502 0.2502 0.0000
0.7498 0.7498 0.0000
0.2596 0.2407 0.5004
0.2596 0.7593 0.0189
0.2595 0.7595 0.5000
0.7405 0.2405 0.5000
0.7404 0.2407 0.9811
0.7404 0.7593 0.4996
0.0000 0.5000 0.5000
0.5000 0.0000 0.5000
```

Calculated values
ρ in g cm⁻³: 3.31
ΔE_f in eV per atom: 0.007
Symmetry: Immm (71)


No. 12
Crystalline Ba6LiAgRh at its relaxed geometry, computed with PBE-GGA.

```
Ba6LiAgRh
1.0
8.2570 0.0000 0.0000
-4.1285 7.1507 0.0000
0.0000 0.0000 7.8054
Ba Li Ag Rh
6 1 1 1
direct
0.0330 0.3565 0.2302
0.0330 0.6765 0.7698
0.3235 0.3565 0.7698
0.3235 0.9670 0.2302
0.6435 0.6765 0.2302
0.6435 0.9670 0.7698
0.6667 0.3333 0.5000
0.0000 0.0000 0.0000
0.3333 0.6667 0.0000
```

Calculated values
ρ in g cm⁻³: 3.75
ΔE_f in eV per atom: -0.099
Symmetry: P312 (149)


No. 13
Crystalline Ba2LiAgS at its relaxed geometry, computed with PBE-GGA.

```
Ba2LiAgS
1.0
6.1898 0.0000 0.0000
0.0000 6.1898 0.0000
0.0000 0.0000 4.5596
Ba Li Ag S
2 1 1 1
direct
0.0000 0.5000 0.0000
0.5000 0.0000 0.0000
0.0000 0.0000 0.5000
0.5000 0.5000 0.5000
0.0000 0.0000 0.0000
```

Calculated values
ρ in g cm⁻³: 4.01
Symmetry: P4/mmm (123)
Raw total energy in eV per atom: -3.327


No. 14
Crystalline BaLiAgS2 at its relaxed geometry, computed with PBE-GGA.

```
BaLiAgS2
1.0
2.9223 -6.8716 0.0000
2.9223 6.8716 0.0000
0.0000 0.0000 5.7584
Ba Li Ag S
2 2 2 4
direct
0.2500 0.7500 0.7571
0.7500 0.2500 0.2429
0.2500 0.2500 0.5000
0.7500 0.7500 0.5000
0.0000 0.0000 0.0000
0.5000 0.5000 0.0000
0.1245 0.8755 0.2859
0.3755 0.6245 0.2859
0.6245 0.3755 0.7141
0.8755 0.1245 0.7141
```

Calculated values
ρ in g cm⁻³: 4.54
Symmetry: Cmme (67)
Raw total energy in eV per atom: -4.188


No. 15
Crystalline Ba2LiAg4Sb3 at its relaxed geometry, computed with PBE-GGA.

```
Ba2LiAg4Sb3
1.0
4.7886 0.0000 0.0000
0.0000 4.7886 0.0000
0.0000 0.0000 11.7337
Ba Li Ag Sb
2 1 4 3
direct
0.0000 0.5000 0.2403
0.5000 0.0000 0.7597
0.0000 0.0000 0.5000
0.0000 0.0000 0.0000
0.0000 0.5000 0.6248
0.5000 0.0000 0.3752
0.5000 0.5000 0.0000
0.0000 0.5000 0.8625
0.5000 0.0000 0.1375
0.5000 0.5000 0.5000
```

Calculated values
ρ in g cm⁻³: 6.66
Symmetry: P-4m2 (115)
Raw total energy in eV per atom: -3.473


No. 16
Crystalline BaLiAgSb2 at its relaxed geometry, computed with PBE-GGA.

```
BaLiAgSb2
1.0
-2.4193 2.4193 5.9424
2.4193 -2.4193 5.9424
2.4193 2.4193 -5.9424
Ba Li Ag Sb
1 1 1 2
direct
0.0000 0.0000 0.0000
0.7500 0.2500 0.5000
0.2500 0.7500 0.5000
0.3761 0.3761 0.0000
0.6239 0.6239 0.0000
```

Calculated values
ρ in g cm⁻³: 5.92
Symmetry: I-4m2 (119)
Raw total energy in eV per atom: -3.635


No. 17
Crystalline Ba2LiAg3Sb4 at its relaxed geometry, computed with PBE-GGA.

```
Ba2LiAg3Sb4
1.0
4.8242 0.0000 0.0000
0.0000 4.8242 0.0000
0.0000 0.0000 11.9012
Ba Li Ag Sb
2 1 3 4
direct
0.0000 0.5000 0.2402
0.5000 0.0000 0.7598
0.5000 0.5000 0.0000
0.0000 0.0000 0.0000
0.0000 0.5000 0.6374
0.5000 0.0000 0.3626
0.0000 0.0000 0.5000
0.0000 0.5000 0.8697
0.5000 0.0000 0.1303
0.5000 0.5000 0.5000
```

Calculated values
ρ in g cm⁻³: 6.55
Symmetry: P-4m2 (115)
Raw total energy in eV per atom: -3.657


No. 18
Crystalline BaLiAg2Sn at its relaxed geometry, computed with PBE-GGA.

```
BaLiAg2Sn
1.0
-2.4970 2.5313 5.2458
2.4970 -2.5313 5.2458
2.4970 2.5313 -5.2458
Ba Li Ag Sn
1 1 2 1
direct
0.0000 0.0000 0.0000
0.2444 0.7444 0.5000
0.3662 0.3662 0.0000
0.7435 0.2435 0.5000
0.6318 0.6318 0.0000
```

Calculated values
ρ in g cm⁻³: 5.99
ΔE_f in eV per atom: -0.318
Symmetry: Imm2 (44)


No. 19
Crystalline BaLiAg4Sn2 at its relaxed geometry, computed with PBE-GGA.

```
BaLiAg4Sn2
1.0
2.3876 1.3785 9.5522
-2.3876 1.3785 9.5522
0.0000 -2.7569 9.5522
Ba Li Ag Sn
1 1 4 2
direct
0.0000 0.0000 0.0000
0.5000 0.5000 0.5000
0.1396 0.1396 0.1396
0.4103 0.4103 0.4103
0.5897 0.5897 0.5897
0.8604 0.8604 0.8604
0.2418 0.2418 0.2418
0.7582 0.7582 0.7582
```

Calculated values
ρ in g cm⁻³: 7.16
ΔE_f in eV per atom: -0.273
Symmetry: R-3m (166)


No. 20
Crystalline BaLi4Ag2Sn at its relaxed geometry, computed with PBE-GGA.

```
BaLi4Ag2Sn
1.0
2.5327 1.4622 7.9020
-2.5327 1.4622 7.9020
0.0000 -2.9245 7.9020
Ba Li Ag Sn
1 4 2 1
direct
0.0000 0.0000 0.0000
0.1441 0.1441 0.1441
0.3859 0.3859 0.3859
0.6141 0.6141 0.6141
0.8559 0.8559 0.8559
0.2561 0.2561 0.2561
0.7439 0.7439 0.7439
0.5000 0.5000 0.5000
```

Calculated values
ρ in g cm⁻³: 4.72
ΔE_f in eV per atom: -0.162
Symmetry: R-3m (166)